Compound: Tl2GaAg
Source: Alexandria via LeMat-Bulk
Functional: PBE
Structure: relaxed

It has space group I-42d (No. 122), with a = 4.4533 Å, b = 4.4533 Å, c = 21.0181 Å, α = 90.00°, β = 90.00° and γ = 90.00°. The inequivalent atoms are Tl at (0.2476, 0.2500, 0.1250), Ga at (0.0000, 0.0000, 0.5000) and Ag at (0.0000, 0.0000, 0.0000).

The calculation puts the total energy at -38.91 eV/cell. The excess energy over the best structure of this formula in the dataset comes out at 0.084 eV per atom. For the formation energy from the elements, the calculation gives 0.221 eV per atom.

Compound: RbBaNaGe
Source: Alexandria via LeMat-Bulk
Functional: PBE
Structure: relaxed

It has space group F-43m (No. 216), with a = 8.1726 Å, b = 8.1726 Å, c = 8.1726 Å, α = 90.00°, β = 90.00° and γ = 90.00°. The inequivalent atoms are Rb at (0.0000, 0.0000, 0.0000), Ba at (0.2500, 0.2500, 0.7500), Na at (0.2500, 0.2500, 0.2500) and Ge at (0.0000, 0.0000, 0.5000).

The calculation puts the total energy at -36.86 eV/cell. For the formation energy from the elements, the calculation gives -0.097 eV per atom.

Compound: HfNbRh
Source: Alexandria via LeMat-Bulk
Functional: PBE
Structure: relaxed

It has space group I4mm (No. 107), with a = 3.2491 Å, b = 3.2491 Å, c = 10.1993 Å, α = 90.00°, β = 90.00° and γ = 90.00°. The inequivalent atoms are Hf at (0.0000, 0.0000, 0.0000), Nb at (0.0000, 0.0000, 0.3167) and Rh at (0.0000, 0.0000, 0.6599).

The calculation puts the total energy at -57.44 eV/cell. The excess energy over the best structure of this formula in the dataset comes out at 0.000 eV per atom. For the formation energy from the elements, the calculation gives -0.449 eV per atom.

Compound: Pm4Pr4Sm5
Source: Alexandria via LeMat-Bulk
Functional: PBE
Structure: relaxed

It has space group I4/m (No. 87), with a = 13.2414 Å, b = 13.2414 Å, c = 5.1562 Å, α = 90.00°, β = 90.00° and γ = 90.00°. The inequivalent atoms are Pm at (0.1535, 0.2299, 0.0000), Pr at (0.0779, 0.6166, 0.0000), Sm at (0.0000, 0.0000, 0.0000) and Sm at (0.0388, 0.8094, 0.5000).

The calculation puts the total energy at -123.09 eV/cell. For the formation energy from the elements, the calculation gives 0.013 eV per atom.

Compound: MnBrCl
Source: Alexandria via LeMat-Bulk
Functional: PBE
Structure: relaxed

It has space group F-43m (No. 216), with a = 6.7687 Å, b = 6.7687 Å, c = 6.7687 Å, α = 90.00°, β = 90.00° and γ = 90.00°. The inequivalent atoms are Mn at (0.0000, 0.0000, 0.0000), Br at (0.2500, 0.2500, 0.7500) and Cl at (0.0000, 0.0000, 0.5000).

The calculation puts the total energy at -50.20 eV/cell. The excess energy over the best structure of this formula in the dataset comes out at 0.979 eV per atom. The value obtained for the formation energy from raw total energies is 0.047 eV per atom.